(1)
{"formula": "ZnFeReBi", "functional": "PBE", "state": "optimized geometry", "lattice_angstrom": [[6.3809, 0.0000, 0.0000], [0.0000, 6.3809, 0.0000], [0.0000, 0.0000, 6.3809]], "species": ["Zn", "Zn", "Zn", "Zn", "Fe", "Fe", "Fe", "Fe", "Re", "Re", "Re", "Re", "Bi", "Bi", "Bi", "Bi"], "fractional_positions": [[0.0000, 0.0000, 0.0000], [0.0000, 0.5000, 0.5000], [0.5000, 0.0000, 0.5000], [0.5000, 0.5000, 0.0000], [0.2500, 0.2500, 0.7500], [0.2500, 0.7500, 0.2500], [0.7500, 0.2500, 0.2500], [0.7500, 0.7500, 0.7500], [0.2500, 0.2500, 0.2500], [0.2500, 0.7500, 0.7500], [0.7500, 0.2500, 0.7500], [0.7500, 0.7500, 0.2500], [0.0000, 0.0000, 0.5000], [0.0000, 0.5000, 0.0000], [0.5000, 0.0000, 0.0000], [0.5000, 0.5000, 0.5000]], "energy_ev_per_atom": -5.7247, "magmom_total_mub_per_cell": 6.42, "crystal_system": "cubic", "relative_energy_mev_per_atom": 0.0}

(2)
{"formula": "ZrFeReBi", "functional": "PBE", "state": "optimized geometry", "lattice_angstrom": [[6.6099, 0.0000, 0.0000], [0.0000, 6.6099, 0.0000], [0.0000, 0.0000, 6.6099]], "species": ["Zr", "Zr", "Zr", "Zr", "Fe", "Fe", "Fe", "Fe", "Re", "Re", "Re", "Re", "Bi", "Bi", "Bi", "Bi"], "fractional_positions": [[0.0000, 0.0000, 0.0000], [0.0000, 0.5000, 0.5000], [0.5000, 0.0000, 0.5000], [0.5000, 0.5000, 0.0000], [0.0000, 0.0000, 0.5000], [0.0000, 0.5000, 0.0000], [0.5000, 0.0000, 0.0000], [0.5000, 0.5000, 0.5000], [0.2500, 0.2500, 0.7500], [0.2500, 0.7500, 0.2500], [0.7500, 0.2500, 0.2500], [0.7500, 0.7500, 0.7500], [0.2500, 0.2500, 0.2500], [0.2500, 0.7500, 0.7500], [0.7500, 0.2500, 0.7500], [0.7500, 0.7500, 0.2500]], "energy_ev_per_atom": -7.7479, "magmom_total_mub_per_cell": 15.52, "crystal_system": "cubic", "relative_energy_mev_per_atom": 247.5}